Entry from Alexandria: Y2GeHRh6 after structural relaxation (PBE-GGA).

The structure in POSCAR format:
```
Y2GeHRh6
1.0
4.2976 -4.3074 0.0000
4.2976 4.3074 0.0000
-4.2817 0.0000 4.3117
Y Ge H Rh
2 1 1 6
direct
0.2495 0.7505 0.0000 Y
0.7505 0.2495 0.0000 Y
0.0000 0.0000 0.5000 Ge
0.5000 0.5000 0.5000 H
0.2730 0.2730 0.0452 Rh
0.2728 0.7272 0.5000 Rh
0.2738 0.2738 0.5013 Rh
0.7262 0.7262 0.4987 Rh
0.7272 0.2728 0.5000 Rh
0.7270 0.7270 0.9548 Rh
```

Summary:
calculated volume = 159.6 Å³ per cell
total DFT energy (no corrections) = -70.74 eV for the cell shown
calculated density = 9.039 g/cm3



Entry from Alexandria: Y2GeHRh after structural relaxation (PBE-GGA).

The structure in POSCAR format:
```
Y2GeHRh
1.0
4.8573 0.0000 0.0000
0.0000 4.8573 0.0000
0.0000 0.0000 3.7564
Y Ge H Rh
2 1 1 1
direct
0.0000 0.5000 0.0000 Y
0.5000 0.0000 0.0000 Y
0.0000 0.0000 0.5000 Ge
0.5000 0.5000 0.0000 H
0.5000 0.5000 0.5000 Rh
```

Summary:
calculated volume = 88.6 Å³ per cell
total DFT energy (no corrections) = -31.79 eV for the cell shown
calculated density = 6.640 g/cm3



Entry from Alexandria: YGeHRh after structural relaxation (PBE-GGA).

The structure in POSCAR format:
```
YGeHRh
1.0
4.0704 0.0000 0.0000
0.0000 4.0704 0.0000
0.0000 0.0000 7.3270
Y Ge H Rh
2 2 2 2
direct
0.2500 0.2500 0.1561 Y
0.7500 0.7500 0.8439 Y
0.2500 0.2500 0.6925 Ge
0.7500 0.7500 0.3075 Ge
0.2500 0.7500 0.0000 H
0.7500 0.2500 0.0000 H
0.2500 0.7500 0.5000 Rh
0.7500 0.2500 0.5000 Rh
```

Summary:
calculated volume = 121.4 Å³ per cell
total DFT energy (no corrections) = -50.36 eV for the cell shown
calculated density = 7.262 g/cm3



Entry from Alexandria: YGeH2Rh after structural relaxation (PBE-GGA).

The structure in POSCAR format:
```
YGeH2Rh
1.0
3.7644 0.0000 0.0000
0.0000 3.7644 0.0000
0.0000 0.0000 6.0251
Y Ge H Rh
1 1 2 1
direct
0.0000 0.0000 0.0000 Y
0.0000 0.0000 0.5000 Ge
0.0000 0.5000 0.0000 H
0.5000 0.0000 0.0000 H
0.5000 0.5000 0.5000 Rh
```

Summary:
calculated volume = 85.4 Å³ per cell
total DFT energy (no corrections) = -24.40 eV for the cell shown
calculated density = 5.183 g/cm3



Entry from Alexandria: ZnGeHRh2 after structural relaxation (PBE-GGA).

The structure in POSCAR format:
```
ZnGeHRh2
1.0
4.0300 0.0000 0.0000
0.0000 4.0300 0.0000
0.0000 0.0000 3.6539
Zn Ge H Rh
1 1 1 2
direct
0.0000 0.0000 0.0000 Zn
0.5000 0.5000 0.0000 Ge
0.0000 0.0000 0.5000 H
0.0000 0.5000 0.5000 Rh
0.5000 0.0000 0.5000 Rh
```

Summary:
calculated volume = 59.3 Å³ per cell
total DFT energy (no corrections) = -24.97 eV for the cell shown
calculated density = 9.650 g/cm3



Entry from Alexandria: Zr2GeHRh after structural relaxation (PBE-GGA).

The structure in POSCAR format:
```
Zr2GeHRh
1.0
4.3911 0.0000 0.0000
0.0000 4.3911 0.0000
0.0000 0.0000 3.9046
Zr Ge H Rh
2 1 1 1
direct
0.0000 0.5000 0.0000 Zr
0.5000 0.0000 0.0000 Zr
0.0000 0.0000 0.5000 Ge
0.5000 0.5000 0.0000 H
0.5000 0.5000 0.5000 Rh
```

Summary:
calculated volume = 75.3 Å³ per cell
total DFT energy (no corrections) = -35.33 eV for the cell shown
calculated density = 7.918 g/cm3



Question: Which value of calculated density does entry 2 give?
Answer: 6.640 g/cm3



Question: The lowest calculated density belongs to which entry?
Answer: YGeH2Rh



Question: Which value of calculated volume does entry 3 give?
Answer: 121.4 Å³ per cell



Question: Number 4 is which compound?
Answer: YGeH2Rh